1.
Material: Mg30VCdO32
Method: DFT, GGA-PBEsol
State: relaxed

Cell lengths 8.482, 8.482, 8.481 Å; angles 90.00, 90.00, 90.00 degrees
Fractional coordinates of all 64 atoms:
Mg: 0.000 0.000 0.000
Mg: 0.000 0.250 0.250
Mg: 0.000 0.250 0.750
Mg: 0.000 0.500 0.000
Mg: 0.000 0.500 0.500
Mg: 0.000 0.750 0.250
Mg: 0.000 0.750 0.750
Mg: 0.248 0.248 0.500
Mg: 0.248 0.500 0.248
Mg: 0.248 0.500 0.752
Mg: 0.248 0.752 0.500
Mg: 0.250 0.000 0.250
Mg: 0.250 0.000 0.750
Mg: 0.250 0.250 0.000
Mg: 0.250 0.750 0.000
Mg: 0.500 0.000 0.000
Mg: 0.500 0.000 0.500
Mg: 0.500 0.248 0.248
Mg: 0.500 0.248 0.752
Mg: 0.500 0.500 0.000
Mg: 0.500 0.752 0.248
Mg: 0.500 0.752 0.752
Mg: 0.750 0.000 0.250
Mg: 0.750 0.000 0.750
Mg: 0.750 0.250 0.000
Mg: 0.750 0.750 0.000
Mg: 0.752 0.248 0.500
Mg: 0.752 0.500 0.248
Mg: 0.752 0.500 0.752
Mg: 0.752 0.752 0.500
V: 0.000 0.000 0.500
Cd: 0.500 0.500 0.500
O: 0.000 0.000 0.247
O: 0.000 0.000 0.753
O: 0.000 0.250 0.000
O: 0.000 0.251 0.500
O: 0.000 0.500 0.248
O: 0.000 0.500 0.752
O: 0.000 0.749 0.500
O: 0.000 0.750 0.000
O: 0.237 0.500 0.500
O: 0.248 0.500 0.000
O: 0.250 0.000 0.000
O: 0.250 0.250 0.250
O: 0.250 0.250 0.750
O: 0.250 0.750 0.250
O: 0.250 0.750 0.750
O: 0.251 0.000 0.500
O: 0.500 0.000 0.248
O: 0.500 0.000 0.752
O: 0.500 0.237 0.500
O: 0.500 0.248 0.000
O: 0.500 0.500 0.236
O: 0.500 0.500 0.764
O: 0.500 0.752 0.000
O: 0.500 0.763 0.500
O: 0.749 0.000 0.500
O: 0.750 0.000 0.000
O: 0.750 0.250 0.250
O: 0.750 0.250 0.750
O: 0.750 0.750 0.250
O: 0.750 0.750 0.750
O: 0.752 0.500 0.000
O: 0.763 0.500 0.500

## Properties
Calculated volume, Å³ per atom: 9.53
E_form (uncorrected), meV per atom: -2640

2.
Material: Mg14ZnCdO16
Method: DFT, GGA-PBEsol
State: relaxed

Cell lengths 4.273, 8.517, 8.541 Å; angles 90.00, 90.00, 90.00 degrees
Fractional coordinates of all 32 atoms:
Mg: 0.000 0.000 0.000
Mg: 0.000 0.247 0.247
Mg: 0.000 0.247 0.753
Mg: 0.000 0.500 0.000
Mg: 0.000 0.753 0.247
Mg: 0.000 0.753 0.753
Mg: 0.500 0.000 0.250
Mg: 0.500 0.000 0.750
Mg: 0.500 0.244 0.500
Mg: 0.500 0.249 0.000
Mg: 0.500 0.500 0.245
Mg: 0.500 0.500 0.755
Mg: 0.500 0.751 0.000
Mg: 0.500 0.756 0.500
Zn: 0.000 0.000 0.500
Cd: 0.000 0.500 0.500
O: 0.000 0.000 0.243
O: 0.000 0.000 0.757
O: 0.000 0.236 0.500
O: 0.000 0.248 0.000
O: 0.000 0.500 0.235
O: 0.000 0.500 0.765
O: 0.000 0.752 0.000
O: 0.000 0.764 0.500
O: 0.500 0.000 0.000
O: 0.500 0.000 0.500
O: 0.500 0.250 0.251
O: 0.500 0.250 0.749
O: 0.500 0.500 0.000
O: 0.500 0.500 0.500
O: 0.500 0.750 0.251
O: 0.500 0.750 0.749

## Properties
Calculated volume, Å³ per atom: 9.71
E_form (uncorrected), meV per atom: -2524

3.
Material: Mg14ZnCdO16
Method: DFT, GGA-PBEsol
State: relaxed

Cell lengths 8.527, 8.527, 4.272 Å; angles 90.00, 90.00, 90.00 degrees
Fractional coordinates of all 32 atoms:
Mg: 0.000 0.249 0.000
Mg: 0.000 0.500 0.500
Mg: 0.000 0.751 0.000
Mg: 0.245 0.500 0.000
Mg: 0.247 0.247 0.500
Mg: 0.247 0.753 0.500
Mg: 0.249 0.000 0.000
Mg: 0.500 0.000 0.500
Mg: 0.500 0.245 0.000
Mg: 0.500 0.755 0.000
Mg: 0.751 0.000 0.000
Mg: 0.753 0.247 0.500
Mg: 0.753 0.753 0.500
Mg: 0.755 0.500 0.000
Zn: 0.000 0.000 0.500
Cd: 0.500 0.500 0.500
O: 0.000 0.000 0.000
O: 0.000 0.250 0.500
O: 0.000 0.500 0.000
O: 0.000 0.750 0.500
O: 0.235 0.500 0.500
O: 0.250 0.000 0.500
O: 0.250 0.250 0.000
O: 0.250 0.750 0.000
O: 0.500 0.000 0.000
O: 0.500 0.235 0.500
O: 0.500 0.500 0.000
O: 0.500 0.765 0.500
O: 0.750 0.000 0.500
O: 0.750 0.250 0.000
O: 0.750 0.750 0.000
O: 0.765 0.500 0.500

## Properties
Calculated volume, Å³ per atom: 9.71
E_form (uncorrected), meV per atom: -2524

4.
Material: Mg30ZnCdO32
Method: DFT, GGA-PBEsol
State: relaxed

Cell lengths 8.486, 8.486, 8.477 Å; angles 90.00, 90.00, 90.00 degrees
Fractional coordinates of all 64 atoms:
Mg: 0.000 0.000 0.000
Mg: 0.000 0.000 0.500
Mg: 0.000 0.250 0.250
Mg: 0.000 0.250 0.750
Mg: 0.000 0.500 0.000
Mg: 0.000 0.500 0.500
Mg: 0.000 0.750 0.250
Mg: 0.000 0.750 0.750
Mg: 0.248 0.248 0.000
Mg: 0.248 0.500 0.253
Mg: 0.248 0.500 0.747
Mg: 0.248 0.752 0.000
Mg: 0.250 0.000 0.250
Mg: 0.250 0.000 0.750
Mg: 0.250 0.250 0.500
Mg: 0.250 0.750 0.500
Mg: 0.500 0.000 0.000
Mg: 0.500 0.000 0.500
Mg: 0.500 0.248 0.253
Mg: 0.500 0.248 0.747
Mg: 0.500 0.752 0.253
Mg: 0.500 0.752 0.747
Mg: 0.750 0.000 0.250
Mg: 0.750 0.000 0.750
Mg: 0.750 0.250 0.500
Mg: 0.750 0.750 0.500
Mg: 0.752 0.248 0.000
Mg: 0.752 0.500 0.253
Mg: 0.752 0.500 0.747
Mg: 0.752 0.752 0.000
Zn: 0.500 0.500 0.500
Cd: 0.500 0.500 0.000
O: 0.000 0.000 0.250
O: 0.000 0.000 0.750
O: 0.000 0.248 0.000
O: 0.000 0.249 0.500
O: 0.000 0.500 0.251
O: 0.000 0.500 0.749
O: 0.000 0.751 0.500
O: 0.000 0.752 0.000
O: 0.237 0.500 0.000
O: 0.244 0.500 0.500
O: 0.248 0.000 0.000
O: 0.249 0.000 0.500
O: 0.251 0.251 0.250
O: 0.251 0.251 0.750
O: 0.251 0.749 0.250
O: 0.251 0.749 0.750
O: 0.500 0.000 0.251
O: 0.500 0.000 0.749
O: 0.500 0.237 0.000
O: 0.500 0.244 0.500
O: 0.500 0.500 0.263
O: 0.500 0.500 0.737
O: 0.500 0.756 0.500
O: 0.500 0.763 0.000
O: 0.749 0.251 0.250
O: 0.749 0.251 0.750
O: 0.749 0.749 0.250
O: 0.749 0.749 0.750
O: 0.751 0.000 0.500
O: 0.752 0.000 0.000
O: 0.756 0.500 0.500
O: 0.763 0.500 0.000

## Properties
Calculated volume, Å³ per atom: 9.54
E_form (uncorrected), meV per atom: -2636

5.
Material: MgCd2Os
Method: DFT, GGA-PBEsol
State: relaxed

Cell lengths 6.524, 6.524, 6.524 Å; angles 90.00, 90.00, 90.00 degrees
Fractional coordinates of all 16 atoms:
Mg: 0.000 0.000 0.000
Mg: 0.000 0.500 0.500
Mg: 0.500 0.000 0.500
Mg: 0.500 0.500 0.000
Cd: 0.000 0.000 0.500
Cd: 0.000 0.500 0.000
Cd: 0.250 0.250 0.750
Cd: 0.250 0.750 0.250
Cd: 0.500 0.000 0.000
Cd: 0.500 0.500 0.500
Cd: 0.750 0.250 0.250
Cd: 0.750 0.750 0.750
Os: 0.250 0.250 0.250
Os: 0.250 0.750 0.750
Os: 0.750 0.250 0.750
Os: 0.750 0.750 0.250

## Properties
Calculated volume, Å³ per atom: 17.36
Formation enthalpy at 0 K, meV per atom: 371

6.
Material: MgCd2Os
Method: DFT, GGA-PBEsol
State: relaxed

Cell lengths 2.799, 4.277, 5.838 Å; angles 90.00, 90.06, 90.00 degrees
Fractional coordinates of all 4 atoms:
Mg: 0.000 0.000 0.000
Cd: 0.499 0.500 0.723
Cd: 0.998 0.000 0.462
Os: 0.499 0.500 0.210

## Properties
Calculated volume, Å³ per atom: 17.47
Formation enthalpy at 0 K, meV per atom: 297

7.
Material: MgCdOs2
Method: DFT, GGA-PBEsol
State: relaxed

Cell lengths 2.941, 4.579, 4.640 Å; angles 90.00, 90.00, 90.00 degrees
Fractional coordinates of all 4 atoms:
Mg: 0.000 0.000 0.000
Cd: 0.500 0.500 0.000
Os: 0.000 0.500 0.500
Os: 0.500 0.000 0.500

## Properties
Distance to the lowest polymorph of the same formula, meV per atom: 367.1
Calculated volume, Å³ per atom: 15.62
Formation enthalpy at 0 K, meV per atom: 491

8.
Material: Mg2CdOs
Method: DFT, GGA-PBEsol
State: relaxed

Cell lengths 9.335, 2.804, 5.301 Å; angles 90.00, 96.87, 90.00 degrees
Fractional coordinates of all 8 atoms:
Mg: 0.243 0.000 0.232
Mg: 0.257 0.500 0.768
Mg: 0.743 0.500 0.232
Mg: 0.757 0.000 0.768
Cd: 0.000 0.000 0.500
Cd: 0.500 0.500 0.500
Os: 0.000 0.500 0.000
Os: 0.500 0.000 0.000

## Properties
Calculated volume, Å³ per atom: 17.22
Formation enthalpy at 0 K, meV per atom: 268

9.
Material: MgCd2Os
Method: DFT, GGA-PBEsol
State: relaxed

Cell lengths 5.673, 9.634, 2.790 Å; angles 90.00, 113.95, 90.00 degrees
Fractional coordinates of all 8 atoms:
Mg: 0.000 0.000 0.000
Mg: 0.500 0.500 0.000
Cd: 0.250 0.250 0.500
Cd: 0.250 0.750 0.500
Cd: 0.750 0.250 0.500
Cd: 0.750 0.750 0.500
Os: 0.000 0.500 0.000
Os: 0.500 0.000 0.000

## Properties
Calculated volume, Å³ per atom: 17.42
Formation enthalpy at 0 K, meV per atom: 355

10.
Material: MgCdOs2
Method: DFT, GGA-PBEsol
State: relaxed

Cell lengths 5.412, 9.312, 2.741 Å; angles 90.00, 114.97, 90.00 degrees
Fractional coordinates of all 8 atoms:
Mg: 0.000 0.000 0.000
Mg: 0.500 0.500 0.000
Cd: 0.000 0.500 0.000
Cd: 0.500 0.000 0.000
Os: 0.250 0.250 0.500
Os: 0.250 0.750 0.500
Os: 0.750 0.250 0.500
Os: 0.750 0.750 0.500

## Properties
Distance to the lowest polymorph of the same formula, meV per atom: 377.4
Calculated volume, Å³ per atom: 15.65
Formation enthalpy at 0 K, meV per atom: 502